--- w ---
First-principles (GGA-PBE) data for a geometry-optimized GaPb2Au2 structure, as listed in Alexandria via LeMat-Bulk.

a = 7.004 Å, b = 7.004 Å, c = 4.934 Å
α = 90.00°, β = 90.00°, γ = 90.00°
Positions (direct):
Pb: 0.174 0.674 0.500
Pb: 0.674 0.826 0.500
Pb: 0.826 0.326 0.500
Pb: 0.326 0.174 0.500
Au: 0.355 0.855 0.000
Au: 0.855 0.645 0.000
Au: 0.645 0.145 0.000
Au: 0.145 0.355 0.000
Ga: 0.000 0.000 0.000
Ga: 0.500 0.500 0.000

Values from the calculation:
* symmetry: P4/mbm (127)
* M_tot: 0.00 μB per atom
* DOS at the Fermi energy: 6.213 states/eV/cell
* volume: 242.0 Å³ per cell

---

--- x ---
First-principles (GGA-PBE) data for a geometry-optimized GaPb2Au2 structure, as listed in Alexandria via LeMat-Bulk.

a = 3.842 Å, b = 3.842 Å, c = 9.056 Å
α = 77.75°, β = 77.75°, γ = 90.00°
Positions (direct):
Pb: 0.393 0.393 0.213
Pb: 0.607 0.607 0.787
Au: 0.750 0.250 0.500
Au: 0.250 0.750 0.500
Ga: 0.000 0.000 0.000

Values from the calculation:
* symmetry: I4/mmm (139)
* M_tot: 0.00 μB per atom
* DOS at the Fermi energy: 2.198 states/eV/cell
* volume: 127.5 Å³ per cell

---

Computed relative energies in units of eV/atom: w 0.000; x 0.104

---

--- w ---
First-principles (GGA-PBE) data for a geometry-optimized GaPb2Au2 structure, as listed in Alexandria via LeMat-Bulk.

a = 8.221 Å, b = 8.221 Å, c = 3.750 Å
α = 90.00°, β = 90.00°, γ = 90.00°
Positions (direct):
Pb: 0.331 0.831 0.000
Pb: 0.831 0.669 0.000
Pb: 0.669 0.169 0.000
Pb: 0.169 0.331 0.000
Au: 0.130 0.630 0.500
Au: 0.630 0.870 0.500
Au: 0.870 0.370 0.500
Au: 0.370 0.130 0.500
Ga: 0.000 0.000 0.000
Ga: 0.500 0.500 0.000

Values from the calculation:
* symmetry: P4/mbm (127)
* M_tot: 0.00 μB per atom
* DOS at the Fermi energy: 4.276 states/eV/cell
* volume: 253.5 Å³ per cell

---

--- x ---
First-principles (GGA-PBE) data for a geometry-optimized GaPb2Au2 structure, as listed in Alexandria via LeMat-Bulk.

a = 6.380 Å, b = 7.296 Å, c = 10.687 Å
α = 100.66°, β = 90.00°, γ = 90.00°
Positions (direct):
Ga: 0.743 0.532 0.624
Ga: 0.257 0.468 0.376
Ga: 0.757 0.032 0.624
Ga: 0.243 0.968 0.376
Pb: 0.734 0.621 0.995
Pb: 0.766 0.121 0.995
Pb: 0.234 0.879 0.005
Pb: 0.266 0.379 0.005
Pb: 0.247 0.050 0.709
Pb: 0.253 0.550 0.709
Pb: 0.747 0.450 0.291
Pb: 0.753 0.950 0.291
Au: 0.882 0.329 0.790
Au: 0.618 0.829 0.790
Au: 0.382 0.171 0.210
Au: 0.118 0.671 0.210
Au: 0.478 0.247 0.520
Au: 0.022 0.747 0.520
Au: 0.978 0.253 0.480
Au: 0.522 0.753 0.480

Values from the calculation:
* symmetry: P2_1/c (14)
* M_tot: 0.00 μB per atom
* DOS at the Fermi energy: 5.789 states/eV/cell
* volume: 488.9 Å³ per cell

---

Computed relative energies in units of eV/atom: w 0.186; x 0.000

---

--- w ---
First-principles (GGA-PBE) data for a geometry-optimized TlGaPbAu2 structure, as listed in Alexandria via LeMat-Bulk.

a = 4.473 Å, b = 8.508 Å, c = 7.944 Å
α = 63.39°, β = 73.65°, γ = 74.76°
Positions (direct):
Tl: 0.750 0.823 0.677
Tl: 0.250 0.177 0.323
Ga: 0.054 0.109 0.783
Ga: 0.946 0.891 0.217
Pb: 0.376 0.455 0.793
Pb: 0.624 0.545 0.207
Au: 0.401 0.784 0.415
Au: 0.599 0.216 0.585
Au: 0.857 0.249 0.036
Au: 0.143 0.751 0.964

Values from the calculation:
* symmetry: C2/m (12)
* M_tot: 0.00 μB per atom
* DOS at the Fermi energy: 3.880 states/eV/cell
* volume: 256.1 Å³ per cell

---

--- x ---
First-principles (GGA-PBE) data for a geometry-optimized TlGaPbAu2 structure, as listed in Alexandria via LeMat-Bulk.

a = 4.965 Å, b = 5.556 Å, c = 4.965 Å
α = 90.00°, β = 90.00°, γ = 90.00°
Positions (direct):
Pb: 0.000 0.500 0.000
Tl: 0.500 0.500 0.500
Au: 0.000 0.000 0.500
Au: 0.500 0.000 0.000
Ga: 0.000 0.000 0.000

Values from the calculation:
* symmetry: P4/mmm (123)
* M_tot: 0.00 μB per atom
* DOS at the Fermi energy: 1.557 states/eV/cell
* volume: 137.0 Å³ per cell

---

Computed relative energies in units of eV/atom: w 0.000; x 0.220

---

--- w ---
First-principles (GGA-PBE) data for a geometry-optimized TlGaPbAu structure, as listed in Alexandria via LeMat-Bulk.

a = 4.389 Å, b = 4.389 Å, c = 7.096 Å
α = 89.97°, β = 108.03°, γ = 120.02°
Positions (direct):
Tl: 0.382 0.055 0.437
Ga: 0.527 0.628 0.155
Pb: 0.977 0.853 0.830
Au: 0.807 0.268 0.075

Values from the calculation:
* symmetry: R3m (160)
* M_tot: 0.00 μB per atom
* DOS at the Fermi energy: 1.335 states/eV/cell
* volume: 110.5 Å³ per cell

---

--- x ---
First-principles (GGA-PBE) data for a geometry-optimized TlGaPbAu structure, as listed in Alexandria via LeMat-Bulk.

a = 5.194 Å, b = 5.194 Å, c = 5.194 Å
α = 60.00°, β = 60.00°, γ = 60.00°
Positions (direct):
Pb: 0.000 0.000 0.000
Tl: 0.500 0.500 0.500
Au: 0.750 0.750 0.750
Ga: 0.250 0.250 0.250

Values from the calculation:
* symmetry: F-43m (216)
* M_tot: 0.00 μB per atom
* DOS at the Fermi energy: 3.546 states/eV/cell
* volume: 99.1 Å³ per cell

---

Computed relative energies in units of eV/atom: w 0.000; x 0.158

---

--- w ---
First-principles (GGA-PBE) data for a geometry-optimized GaPd3Au2 structure, as listed in Alexandria via LeMat-Bulk.

a = 5.149 Å, b = 5.101 Å, c = 8.807 Å
α = 84.45°, β = 78.96°, γ = 59.69°
Positions (direct):
Ga: 0.668 0.664 0.000
Ga: 0.332 0.336 0.000
Pd: 0.430 0.650 0.766
Pd: 0.273 0.000 0.233
Pd: 0.570 0.350 0.234
Pd: 0.920 0.650 0.234
Pd: 0.080 0.350 0.766
Pd: 0.727 0.000 0.767
Au: 0.000 0.000 0.000
Au: 0.500 0.000 0.500
Au: 0.164 0.672 0.500
Au: 0.836 0.328 0.500

Values from the calculation:
* symmetry: C2/m (12)
* M_tot: 0.00 μB per atom
* DOS at the Fermi energy: 6.277 states/eV/cell
* volume: 196.0 Å³ per cell

---

--- x ---
First-principles (GGA-PBE) data for a geometry-optimized GaPd3Au2 structure, as listed in Alexandria via LeMat-Bulk.

a = 4.238 Å, b = 6.700 Å, c = 7.168 Å
α = 90.00°, β = 90.00°, γ = 71.56°
Positions (direct):
Ga: 0.343 0.315 0.000
Ga: 0.657 0.685 0.000
Pd: 0.826 0.349 0.777
Pd: 0.500 0.000 0.242
Pd: 0.174 0.651 0.223
Pd: 0.826 0.349 0.223
Pd: 0.174 0.651 0.777
Pd: 0.500 0.000 0.758
Au: 0.000 0.000 0.000
Au: 0.000 0.000 0.500
Au: 0.333 0.334 0.500
Au: 0.667 0.666 0.500

Values from the calculation:
* symmetry: Cmmm (65)
* M_tot: 0.00 μB per atom
* DOS at the Fermi energy: 3.147 states/eV/cell
* volume: 193.1 Å³ per cell

---

Computed relative energies in units of eV/atom: w 0.093; x 0.000

---

--- w ---
First-principles (GGA-PBE) data for a geometry-optimized Ga2PdAu3 structure, as listed in Alexandria via LeMat-Bulk.

a = 4.001 Å, b = 6.849 Å, c = 9.064 Å
α = 118.95°, β = 90.00°, γ = 106.99°
Positions (direct):
Ga: 0.522 0.043 0.871
Ga: 0.478 0.957 0.129
Ga: 0.782 0.563 0.132
Ga: 0.218 0.437 0.868
Pd: 0.869 0.739 0.927
Pd: 0.131 0.261 0.073
Au: 0.293 0.587 0.634
Au: 0.971 0.941 0.656
Au: 0.626 0.252 0.627
Au: 0.374 0.748 0.373
Au: 0.029 0.059 0.344
Au: 0.707 0.413 0.366

Values from the calculation:
* symmetry: C2/m (12)
* M_tot: 0.00 μB per atom
* DOS at the Fermi energy: 4.416 states/eV/cell
* volume: 204.9 Å³ per cell

---

--- x ---
First-principles (GGA-PBE) data for a geometry-optimized Ga2PdAu3 structure, as listed in Alexandria via LeMat-Bulk.

a = 8.262 Å, b = 8.715 Å, c = 8.028 Å
α = 116.07°, β = 119.63°, γ = 91.93°
Positions (direct):
Ga: 0.892 0.697 0.795
Ga: 0.444 0.577 0.682
Ga: 0.278 0.101 0.176
Ga: 0.356 0.654 0.311
Ga: 0.894 0.096 0.189
Ga: 0.972 0.649 0.324
Ga: 0.358 0.053 0.705
Ga: 0.806 0.173 0.818
Pd: 0.256 0.254 0.542
Pd: 0.709 0.663 0.410
Pd: 0.541 0.087 0.090
Pd: 0.994 0.496 0.958
Au: 0.285 0.613 0.903
Au: 0.125 0.875 0.250
Au: 0.125 0.375 0.250
Au: 0.706 0.800 0.127
Au: 0.633 0.409 0.956
Au: 0.908 0.412 0.471
Au: 0.625 0.875 0.750
Au: 0.125 0.875 0.750
Au: 0.544 0.950 0.373
Au: 0.617 0.341 0.544
Au: 0.342 0.338 0.029
Au: 0.965 0.137 0.597

Values from the calculation:
* symmetry: P-1 (2)
* M_tot: 0.00 μB per atom
* DOS at the Fermi energy: 7.803 states/eV/cell
* volume: 427.4 Å³ per cell

---

Computed relative energies in units of eV/atom: w 0.000; x 0.025